Density functional theory data (PBE-GGA) for a relaxed Mn2NiPb crystal.

## Properties
Theoretical density   9.795 Mg/m³
DFT formation energy   0.367 eV/atom
Crystal system   tetragonal
Spin magnetization   1.884 μB per atom

Unit cell a=3.938 b=3.938 c=8.215 alpha=90.00 beta=90.00 gamma=90.00
Space group I-4m2 (No. 119)
One atom of each set of equivalent atoms:
Mn 0.000 0.000 0.000 [2 per cell]
Mn 0.000 0.500 0.250 [2 per cell]
Ni 0.000 0.500 0.750 [2 per cell]
Pb 0.000 0.000 0.500 [2 per cell]


Density functional theory data (PBE-GGA) for a relaxed MnNiPb2 crystal.

## Properties
Theoretical density   10.698 Mg/m³
Energy above the lowest structure with this stoichiometry   245 meV per atom
DFT formation energy   0.431 eV/atom
Crystal system   cubic
Spin magnetization   1.117 μB per atom

Unit cell a=6.895 b=6.895 c=6.895 alpha=90.00 beta=90.00 gamma=90.00
Space group Fm-3m (No. 225)
One atom of each set of equivalent atoms:
Mn 0.000 0.000 0.000 [4 per cell]
Ni 0.000 0.000 0.500 [4 per cell]
Pb 0.250 0.250 0.250 [8 per cell]


Density functional theory data (PBE-GGA) for a relaxed MnNiPb2 crystal.

## Properties
Theoretical density   10.829 Mg/m³
Energy above the lowest structure with this stoichiometry   219 meV per atom
DFT formation energy   0.405 eV/atom
Crystal system   tetragonal
Spin magnetization   1.018 μB per atom

Unit cell a=3.330 b=3.330 c=7.303 alpha=90.00 beta=90.00 gamma=90.00
Space group P4/mmm (No. 123)
One atom of each set of equivalent atoms:
Mn 0.000 0.000 0.000 [1 per cell]
Ni 0.000 0.000 0.500 [1 per cell]
Pb 0.500 0.500 0.269 [2 per cell]


Density functional theory data (PBE-GGA) for a relaxed MnNiPb2 crystal.

## Properties
Theoretical density   10.142 Mg/m³
Energy above the lowest structure with this stoichiometry   427 meV per atom
DFT formation energy   0.614 eV/atom
Crystal system   cubic
Spin magnetization   1.079 μB per atom

Unit cell a=7.019 b=7.019 c=7.019 alpha=90.00 beta=90.00 gamma=90.00
Space group F-43m (No. 216)
One atom of each set of equivalent atoms:
Mn 0.000 0.000 0.000 [4 per cell]
Ni 0.250 0.250 0.750 [4 per cell]
Pb 0.000 0.000 0.500 [4 per cell]
Pb 0.250 0.250 0.250 [4 per cell]


Density functional theory data (PBE-GGA) for a relaxed MnNi2Pb crystal.

## Properties
Theoretical density   10.282 Mg/m³
DFT formation energy   0.172 eV/atom
Crystal system   monoclinic
Spin magnetization   1.049 μB per atom

Unit cell a=3.167 b=3.157 c=6.130 alpha=90.00 beta=90.07 gamma=90.00
Space group P2/m (No. 10)
One atom of each set of equivalent atoms:
Mn 0.000 0.000 0.000 [1 per cell]
Ni 0.500 0.500 0.206 [2 per cell]
Pb 0.000 0.000 0.500 [1 per cell]


Density functional theory data (PBE-GGA) for a relaxed MnNiPb2 crystal.

## Properties
Theoretical density   9.829 Mg/m³
Energy above the lowest structure with this stoichiometry   137 meV per atom
DFT formation energy   0.323 eV/atom
Crystal system   trigonal
Spin magnetization   1.102 μB per atom

Unit cell a=3.3618 b=3.3618 c=27.3436 alpha=90.00 beta=90.00 gamma=120.00
Space group R3m (No. 160, hexagonal axes)
One atom of each set of equivalent atoms:
Mn 0.0000 0.0000 0.0000 [3 per cell]
Ni 0.0000 0.0000 0.2800 [3 per cell]
Pb 0.0000 0.0000 0.5405 [3 per cell]
Pb 0.0000 0.0000 0.7554 [3 per cell]


Density functional theory data (PBE-GGA) for a relaxed MnNiRhPb crystal.

## Properties
Theoretical density   11.154 Mg/m³
DFT formation energy   0.058 eV/atom
Crystal system   cubic
Spin magnetization   1.095 μB per atom

Unit cell a=6.319 b=6.319 c=6.319 alpha=90.00 beta=90.00 gamma=90.00
Space group F-43m (No. 216)
One atom of each set of equivalent atoms:
Mn 0.000 0.000 0.000 [4 per cell]
Ni 0.250 0.250 0.250 [4 per cell]
Rh 0.250 0.250 0.750 [4 per cell]
Pb 0.000 0.000 0.500 [4 per cell]


Density functional theory data (PBE-GGA) for a relaxed MnNiRu2Pb crystal.

## Properties
Theoretical density   9.115 Mg/m³
DFT formation energy   1.702 eV/atom
Crystal system   tetragonal
Spin magnetization   0.652 μB per atom

Unit cell a=4.494 b=4.494 c=4.717 alpha=90.00 beta=90.00 gamma=90.00
Space group P4/mmm (No. 123)
One atom of each set of equivalent atoms:
Mn 0.000 0.000 0.000 [1 per cell]
Ni 0.500 0.500 0.500 [1 per cell]
Ru 0.000 0.500 0.500 [2 per cell]
Pb 0.500 0.500 0.000 [1 per cell]


Density functional theory data (PBE-GGA) for a relaxed Mn2NiPd crystal.

## Properties
Theoretical density   8.194 Mg/m³
Energy above the lowest structure with this stoichiometry   23 meV per atom
DFT formation energy   -0.064 eV/atom
Crystal system   tetragonal
Spin magnetization   2.219 μB per atom

Unit cell a=4.096 b=4.096 c=3.322 alpha=90.00 beta=90.00 gamma=90.00
Space group P4/mmm (No. 123)
One atom of each set of equivalent atoms:
Mn 0.000 0.500 0.000 [2 per cell]
Ni 0.000 0.000 0.500 [1 per cell]
Pd 0.500 0.500 0.500 [1 per cell]


Density functional theory data (PBE-GGA) for a relaxed Mn2NiPd crystal.

## Properties
Theoretical density   8.733 Mg/m³
Energy above the lowest structure with this stoichiometry   600 meV per atom
DFT formation energy   0.514 eV/atom
Crystal system   tetragonal
Spin magnetization   0.001 μB per atom

Unit cell a=3.501 b=3.501 c=17.061 alpha=90.00 beta=90.00 gamma=90.00
Space group I-42d (No. 122)
One atom of each set of equivalent atoms:
Mn 0.183 0.250 0.125 [8 per cell]
Ni 0.000 0.000 0.000 [4 per cell]
Pd 0.000 0.000 0.500 [4 per cell]


Density functional theory data (PBE-GGA) for a relaxed MnNiPd5 crystal.

## Properties
Theoretical density   9.587 Mg/m³
Energy above the lowest structure with this stoichiometry   0 meV per atom
DFT formation energy   0.031 eV/atom
Crystal system   orthorhombic
Spin magnetization   0.907 μB per atom

Unit cell a=5.549 b=7.261 c=5.552 alpha=90.00 beta=90.00 gamma=90.00
Space group Cmmm (No. 65)
One atom of each set of equivalent atoms:
Mn 0.000 0.000 0.000 [2 per cell]
Ni 0.000 0.500 0.500 [2 per cell]
Pd 0.000 0.500 0.000 [2 per cell]
Pd 0.250 0.250 0.262 [8 per cell]


Density functional theory data (PBE-GGA) for a relaxed Mn2NiPd crystal.

## Properties
Theoretical density   9.298 Mg/m³
Energy above the lowest structure with this stoichiometry   612 meV per atom
DFT formation energy   0.526 eV/atom
Crystal system   cubic
Spin magnetization   0.000 μB per atom

Unit cell a=5.813 b=5.813 c=5.813 alpha=90.00 beta=90.00 gamma=90.00
Space group Fm-3m (No. 225)
One atom of each set of equivalent atoms:
Mn 0.250 0.250 0.250 [8 per cell]
Ni 0.000 0.000 0.000 [4 per cell]
Pd 0.000 0.000 0.500 [4 per cell]


Density functional theory data (PBE-GGA) for a relaxed Mn6NiPd12 crystal.

## Properties
Theoretical density   10.112 Mg/m³
DFT formation energy   0.208 eV/atom
Crystal system   trigonal
Spin magnetization   0.024 μB per atom

Unit cell a=10.0217 b=10.0217 c=9.4328 alpha=90.00 beta=90.00 gamma=120.00
Space group R-3 (No. 148, hexagonal axes)
One atom of each set of equivalent atoms:
Mn 0.0123 0.7971 0.0060 [18 per cell]
Ni 0.0000 0.0000 0.5000 [3 per cell]
Pd 0.0356 0.5472 0.1322 [18 per cell]
Pd 0.0847 0.1865 0.7475 [18 per cell]


Density functional theory data (PBE-GGA) for a relaxed MnNi3Pd crystal.

## Properties
Theoretical density   7.676 Mg/m³
Energy above the lowest structure with this stoichiometry   0 meV per atom
DFT formation energy   1.027 eV/atom
Crystal system   cubic
Spin magnetization   0.000 μB per atom

Unit cell a=4.179 b=4.179 c=4.179 alpha=90.00 beta=90.00 gamma=90.00
Space group Pm-3m (No. 221)
One atom of each set of equivalent atoms:
Mn 0.000 0.000 0.000 [1 per cell]
Ni 0.000 0.000 0.500 [3 per cell]
Pd 0.500 0.500 0.500 [1 per cell]


Density functional theory data (PBE-GGA) for a relaxed MnNi2Pd crystal.

## Properties
Theoretical density   9.574 Mg/m³
DFT formation energy   0.268 eV/atom
Crystal system   cubic
Spin magnetization   0.000 μB per atom

Unit cell a=5.783 b=5.783 c=5.783 alpha=90.00 beta=90.00 gamma=90.00
Space group Fm-3m (No. 225)
One atom of each set of equivalent atoms:
Mn 0.000 0.000 0.000 [4 per cell]
Ni 0.250 0.250 0.250 [8 per cell]
Pd 0.000 0.000 0.500 [4 per cell]


Density functional theory data (PBE-GGA) for a relaxed Mn2Ni3Pd3 crystal.

## Properties
Theoretical density   9.430 Mg/m³
DFT formation energy   -0.118 eV/atom
Crystal system   orthorhombic
Spin magnetization   1.193 μB per atom

Unit cell a=3.783 b=3.794 c=7.426 alpha=90.00 beta=90.00 gamma=90.00
Space group Pmmm (No. 47)
One atom of each set of equivalent atoms:
Mn 0.000 0.000 0.243 [2 per cell]
Ni 0.500 0.000 0.000 [1 per cell]
Ni 0.500 0.500 0.243 [2 per cell]
Pd 0.000 0.500 0.000 [1 per cell]
Pd 0.000 0.500 0.500 [1 per cell]
Pd 0.500 0.000 0.500 [1 per cell]


Density functional theory data (PBE-GGA) for a relaxed Mn2Ni2Pd crystal.

## Properties
Theoretical density   9.148 Mg/m³
Energy above the lowest structure with this stoichiometry   0 meV per atom
DFT formation energy   0.226 eV/atom
Crystal system   tetragonal
Spin magnetization   0.000 μB per atom

Unit cell a=6.827 b=6.827 c=2.600 alpha=90.00 beta=90.00 gamma=90.00
Space group P4/mbm (No. 127)
One atom of each set of equivalent atoms:
Mn 0.105 0.395 0.000 [4 per cell]
Ni 0.185 0.685 0.500 [4 per cell]
Pd 0.000 0.000 0.000 [2 per cell]


Density functional theory data (PBE-GGA) for a relaxed MnNi2Pd2 crystal.

## Properties
Theoretical density   9.127 Mg/m³
DFT formation energy   0.086 eV/atom
Crystal system   tetragonal
Spin magnetization   1.150 μB per atom

Unit cell a=6.217 b=6.217 c=3.626 alpha=90.00 beta=90.00 gamma=90.00
Space group P4/mbm (No. 127)
One atom of each set of equivalent atoms:
Mn 0.000 0.000 0.000 [2 per cell]
Ni 0.132 0.368 0.000 [4 per cell]
Pd 0.167 0.667 0.500 [4 per cell]


Density functional theory data (PBE-GGA) for a relaxed MnNiPd3 crystal.

## Properties
Theoretical density   7.646 Mg/m³
Energy above the lowest structure with this stoichiometry   884 meV per atom
DFT formation energy   0.758 eV/atom
Crystal system   cubic
Spin magnetization   0.949 μB per atom

Unit cell a=4.547 b=4.547 c=4.547 alpha=90.00 beta=90.00 gamma=90.00
Space group Pm-3m (No. 221)
One atom of each set of equivalent atoms:
Mn 0.000 0.000 0.000 [1 per cell]
Ni 0.500 0.500 0.500 [1 per cell]
Pd 0.000 0.500 0.500 [3 per cell]


Density functional theory data (PBE-GGA) for a relaxed Mn2NiPd5 crystal.

## Properties
Theoretical density   9.942 Mg/m³
DFT formation energy   -0.169 eV/atom
Crystal system   tetragonal
Spin magnetization   1.185 μB per atom

Unit cell a=5.536 b=5.536 c=7.636 alpha=90.00 beta=90.00 gamma=90.00
Space group I4/mmm (No. 139)
One atom of each set of equivalent atoms:
Mn 0.000 0.500 0.000 [4 per cell]
Ni 0.000 0.000 0.000 [2 per cell]
Pd 0.000 0.000 0.500 [2 per cell]
Pd 0.250 0.250 0.250 [8 per cell]


Density functional theory data (PBE-GGA) for a relaxed MnNiPd3 crystal.

## Properties
Theoretical density   7.419 Mg/m³
Energy above the lowest structure with this stoichiometry   1154 meV per atom
DFT formation energy   1.028 eV/atom
Crystal system   cubic
Spin magnetization   0.979 μB per atom

Unit cell a=4.593 b=4.593 c=4.593 alpha=90.00 beta=90.00 gamma=90.00
Space group Pm-3m (No. 221)
One atom of each set of equivalent atoms:
Mn 0.000 0.000 0.000 [1 per cell]
Ni 0.500 0.500 0.500 [1 per cell]
Pd 0.000 0.000 0.500 [3 per cell]


Density functional theory data (PBE-GGA) for a relaxed MnNiPd3 crystal.

## Properties
Theoretical density   10.266 Mg/m³
Energy above the lowest structure with this stoichiometry   233 meV per atom
DFT formation energy   0.107 eV/atom
Crystal system   triclinic
Spin magnetization   0.203 μB per atom

Unit cell a=2.766 b=7.116 c=7.568 alpha=106.69 beta=100.46 gamma=90.26
Space group P-1 (No. 2)
One atom of each set of equivalent atoms:
Mn 0.201 0.450 0.391 [2 per cell]
Ni 0.102 0.938 0.202 [2 per cell]
Pd 0.254 0.831 0.516 [2 per cell]
Pd 0.409 0.383 0.819 [2 per cell]
Pd 0.445 0.793 0.890 [2 per cell]


Density functional theory data (PBE-GGA) for a relaxed MnNiPd5 crystal.

## Properties
Theoretical density   10.168 Mg/m³
Energy above the lowest structure with this stoichiometry   32 meV per atom
DFT formation energy   0.063 eV/atom
Crystal system   orthorhombic
Spin magnetization   0.829 μB per atom

Unit cell a=7.572 b=11.660 c=4.778 alpha=90.00 beta=90.00 gamma=90.00
Space group Cmcm (No. 63)
One atom of each set of equivalent atoms:
Mn 0.000 0.000 0.000 [4 per cell]
Ni 0.000 0.413 0.250 [4 per cell]
Pd 0.000 0.203 0.250 [4 per cell]
Pd 0.186 0.173 0.750 [8 per cell]
Pd 0.189 0.416 0.750 [8 per cell]


Density functional theory data (PBE-GGA) for a relaxed Mn4NiPd2 crystal.

## Properties
Theoretical density   6.434 Mg/m³
DFT formation energy   0.533 eV/atom
Crystal system   tetragonal
Spin magnetization   2.511 μB per atom

Unit cell a=4.440 b=4.440 c=12.863 alpha=90.00 beta=90.00 gamma=90.00
Space group I4/mmm (No. 139)
One atom of each set of equivalent atoms:
Mn 0.000 0.000 0.185 [4 per cell]
Mn 0.000 0.500 0.000 [4 per cell]
Ni 0.000 0.000 0.000 [2 per cell]
Pd 0.000 0.000 0.383 [4 per cell]


Density functional theory data (PBE-GGA) for a relaxed Mn3NiPd4 crystal.

## Properties
Theoretical density   9.186 Mg/m³
DFT formation energy   -0.160 eV/atom
Crystal system   orthorhombic
Spin magnetization   1.742 μB per atom

Unit cell a=5.763 b=7.085 c=11.497 alpha=90.00 beta=90.00 gamma=90.00
Space group Fmmm (No. 69)
One atom of each set of equivalent atoms:
Mn 0.000 0.000 0.000 [4 per cell]
Mn 0.000 0.000 0.258 [8 per cell]
Ni 0.000 0.000 0.500 [4 per cell]
Pd 0.250 0.250 0.124 [16 per cell]


Density functional theory data (PBE-GGA) for a relaxed Mn3NiPd crystal.

## Properties
Theoretical density   7.558 Mg/m³
Energy above the lowest structure with this stoichiometry   229 meV per atom
DFT formation energy   1.409 eV/atom
Crystal system   cubic
Spin magnetization   0.059 μB per atom

Unit cell a=4.170 b=4.170 c=4.170 alpha=90.00 beta=90.00 gamma=90.00
Space group Pm-3m (No. 221)
One atom of each set of equivalent atoms:
Mn 0.000 0.000 0.500 [3 per cell]
Ni 0.000 0.000 0.000 [1 per cell]
Pd 0.500 0.500 0.500 [1 per cell]